First-principles (PBE) data for a geometry-optimized BeCdTeO structure, as listed in the Open Quantum Materials Database.

Structure (CIF):
```
data_BeCdTeO
_symmetry_space_group_name_H-M 'P 21 21 21'
_symmetry_Int_Tables_number 19
_symmetry_space_group_name_Hall 'P 2ac 2ab'
_cell_length_a 5.0862
_cell_length_b 7.7619
_cell_length_c 8.4026
_cell_angle_alpha 90.00
_cell_angle_beta 90.00
_cell_angle_gamma 90.00
loop_
_atom_site_label
_atom_site_fract_x
_atom_site_fract_y
_atom_site_fract_z
Be1 0.0351 0.2217 0.0600
Cd1 0.0761 0.5515 0.8559
Te1 0.1998 0.1246 0.3290
O1 0.2485 0.6843 0.4735
```



First-principles (PBE) data for a geometry-optimized BeCdOs2 structure, as listed in the Open Quantum Materials Database.

Summary:
- spin magnetization (μB/f.u.) = 0.00

Structure (CIF):
```
data_BeCdOs2
_symmetry_space_group_name_H-M 'F -4 3 m'
_symmetry_Int_Tables_number 216
_symmetry_space_group_name_Hall 'F -4 2 3'
_cell_length_a 6.1347
_cell_length_b 6.1347
_cell_length_c 6.1347
_cell_angle_alpha 90.00
_cell_angle_beta 90.00
_cell_angle_gamma 90.00
loop_
_atom_site_label
_atom_site_fract_x
_atom_site_fract_y
_atom_site_fract_z
Be1 0.0000 0.0000 0.0000
Cd1 0.2500 0.2500 0.2500
Os1 0.0000 0.0000 0.5000
Os2 0.2500 0.2500 0.7500
```



First-principles (PBE) data for a geometry-optimized BeCd2Os structure, as listed in the Open Quantum Materials Database.

Summary:
- spin magnetization (μB/f.u.) = 0.00

Structure (CIF):
```
data_BeCd2Os
_symmetry_space_group_name_H-M 'F -4 3 m'
_symmetry_Int_Tables_number 216
_symmetry_space_group_name_Hall 'F -4 2 3'
_cell_length_a 6.3141
_cell_length_b 6.3141
_cell_length_c 6.3141
_cell_angle_alpha 90.00
_cell_angle_beta 90.00
_cell_angle_gamma 90.00
loop_
_atom_site_label
_atom_site_fract_x
_atom_site_fract_y
_atom_site_fract_z
Be1 0.0000 0.0000 0.0000
Cd1 0.0000 0.0000 0.5000
Cd2 0.2500 0.2500 0.7500
Os1 0.2500 0.2500 0.2500
```



First-principles (PBE) data for a geometry-optimized BeCdTeOs structure, as listed in the Open Quantum Materials Database.

Summary:
- spin magnetization (μB/f.u.) = 0.00

Structure (CIF):
```
data_BeCdTeOs
_symmetry_space_group_name_H-M 'F -4 3 m'
_symmetry_Int_Tables_number 216
_symmetry_space_group_name_Hall 'F -4 2 3'
_cell_length_a 6.5048
_cell_length_b 6.5048
_cell_length_c 6.5048
_cell_angle_alpha 90.00
_cell_angle_beta 90.00
_cell_angle_gamma 90.00
loop_
_atom_site_label
_atom_site_fract_x
_atom_site_fract_y
_atom_site_fract_z
Be1 0.0000 0.0000 0.0000
Cd1 0.2500 0.2500 0.2500
Te1 0.0000 0.0000 0.5000
Os1 0.2500 0.2500 0.7500
```



no.,E_tot (eV per cell)
1,-70.174
2,-98.942
3,-57.527
4,-62.724